Density functional theory data (PBE+U) for a geometry-optimized Mn2MoOsF structure.

Calculated values
Raw total energy: -5.886 eV/atom
Total moment: 0.941 μB per atom
DOS at the Fermi energy: 4.69 states/eV per cell

abc: 5.1282 3.9310 5.1282
angles: 90.00 90.00 90.00
Last column: nearest neighbours and their distance in Å.
Fractional positions:
Mn1 0.0000 0.0000 0.5000  2 Mo 2.56
Mn2 0.5000 0.0000 0.0000  2 Mo 2.56
Mo1 0.0000 0.0000 0.0000  2 F 1.97
F1 0.0000 0.5000 0.0000  2 Mo 1.97
Os1 0.5000 0.5000 0.5000  8 Mn 3.23